1.
PrDy2Tm3 | PBE-GGA | optimized geometry

```
12
Lattice="-1.1151 3.2695 0.5393 -4.2222 -2.8963 8.8280 11.3144 1.6971 1.7729" Properties=species:S:1:pos:R:3 pbc="T T T"
Tm 5.3548 1.2061 3.7599
Tm -1.7457 -1.7461 6.9760
Tm -1.1619 0.7417 4.4342
Dy 2.0058 1.8343 4.3597
Dy 0.8435 0.0343 1.5359
Tm 7.1390 1.3287 6.7061
Dy 5.1336 2.0360 9.6044
Tm 7.7228 3.8164 4.1643
Tm 0.6223 0.8642 7.3804
Pr 2.7567 -0.6711 9.7683
Dy 3.9714 0.2360 6.7806
Pr 3.2204 2.7415 1.3719
```

Output
symmetry	C2/m
offset from the most stable computed form	0.32	eV/f.u.
final energy	-4.442	eV per atom
D(E_F)	18.17	states/eV/cell
energy relative to the elements	0.124	eV/atom
size of the total moment	0.001	Bohr magnetons per cell



2.
GaPtO3 | PBE-GGA | optimized geometry

```
5
Lattice="-2.8295 -1.2654 2.2082 -1.2806 -2.1457 -2.8705 2.1994 -2.8772 1.1695" Properties=species:S:1:pos:R:3 pbc="T T T"
O 1.0997 -1.4386 0.5847
Ga 0.0000 0.0000 0.0000
Pt -0.9553 -3.1441 0.2536
O -1.4148 -0.6327 1.1041
O -0.6403 -1.0728 -1.4352
```

Output
symmetry	Pm-3m
raw formation energy	-0.13	eV per atom
final energy	-4.918	eV per atom
D(E_F)	2.11	states/eV/cell
size of the total moment	3.000	Bohr magnetons per cell



3.
PmHgH8Rh4 | PBE-GGA | optimized geometry

```
14
Lattice="-3.9787 -3.4056 2.3186 1.3116 -5.3975 1.3968 0.4191 -1.4844 5.6131" Properties=species:S:1:pos:R:3 pbc="T T T"
H -1.7323 -7.7670 6.8415
Rh -1.8277 -2.4741 3.8983
Rh -1.6342 -5.7092 2.9581
H 0.3802 -6.4078 5.3888
Pm -0.6551 -4.6240 6.2322
Hg -2.6513 -8.7857 3.7681
H -0.0723 -5.1535 3.6391
H -2.1778 -4.3607 4.0060
H -0.4040 -3.1804 4.5535
H -0.4527 -2.4507 2.6977
Rh 0.1940 -0.7436 2.7202
H -1.6558 -6.5089 4.5619
Rh 0.8604 -3.4862 3.4299
H -2.7831 -5.2168 5.9399
```

Output
symmetry	R3m
final energy	-4.513	eV per atom
D(E_F)	2.76	states/eV/cell
size of the total moment	0.000	Bohr magnetons per cell



Please write out number 1 again, unchanged.
PrDy2Tm3 | PBE-GGA | optimized geometry

```
12
Lattice="-1.1151 3.2695 0.5393 -4.2222 -2.8963 8.8280 11.3144 1.6971 1.7729" Properties=species:S:1:pos:R:3 pbc="T T T"
Tm 5.3548 1.2061 3.7599
Tm -1.7457 -1.7461 6.9760
Tm -1.1619 0.7417 4.4342
Dy 2.0058 1.8343 4.3597
Dy 0.8435 0.0343 1.5359
Tm 7.1390 1.3287 6.7061
Dy 5.1336 2.0360 9.6044
Tm 7.7228 3.8164 4.1643
Tm 0.6223 0.8642 7.3804
Pr 2.7567 -0.6711 9.7683
Dy 3.9714 0.2360 6.7806
Pr 3.2204 2.7415 1.3719
```

Output
symmetry	C2/m
offset from the most stable computed form	0.32	eV/f.u.
final energy	-4.442	eV per atom
D(E_F)	18.17	states/eV/cell
energy relative to the elements	0.124	eV/atom
size of the total moment	0.001	Bohr magnetons per cell